1.
The following is a DFT calculation (PBE-GGA) of LiCrAs after structural relaxation.

Cell and atoms, written as POSCAR:
```
LiCrAs
1.0
4.232 -2.443 0.000
0.000 4.886 0.000
0.000 0.000 9.244
Cr As Li
2 2 2
Direct
0.000 0.000 0.250
0.000 0.000 0.750
0.000 0.000 0.000
0.000 0.000 0.500
0.333 0.667 0.250
0.667 0.333 0.750
```

Results
**V**: 31.86 A^3/atom
**E_form**: 2.01 eV per formula unit
**Magnetization**: 3.95 μB/f.u.
**Density**: 2.3 g/cm3

---

2.
The following is a DFT calculation (PBE-GGA) of Pa2Ga5Cu4 after structural relaxation.

Cell and atoms, written as POSCAR:
```
Pa2Ga5Cu4
1.0
5.710 0.000 0.000
2.855 4.588 0.000
2.855 0.000 7.246
Ga Pa Cu
5 2 4
Direct
0.000 0.500 0.000
0.500 0.500 0.000
0.750 0.500 0.500
0.500 0.000 0.000
0.250 0.500 0.500
0.861 0.000 0.277
0.139 0.000 0.723
0.495 0.730 0.280
0.505 0.270 0.720
0.225 0.270 0.280
0.775 0.730 0.720
```

Results
**V**: 17.26 A^3/atom
**E_form**: -1.69 eV per formula unit
**Magnetization**: 0.00 μB/f.u.
**Density**: 9.3 g/cm3